1.
Tl2PtI: relaxed, PBE.

```
Tl2PtI
1.0
6.653 0.000 0.000
0.000 6.653 0.000
3.327 3.327 7.377
Tl I Pt
4 2 2
direct
0.722 0.125 0.250
0.028 0.625 0.250
0.875 0.972 0.750
0.375 0.278 0.750
0.250 0.750 0.500
0.500 0.500 0.000
0.750 0.250 0.500
0.000 0.000 0.000
```

Values from the calculation:
Space-group type = No. 122
Crystal system = tetragonal
ΔE_f (raw) = -0.19 eV/f.u.
Spin magnetization = 0.000 μB/atom
Relative energy among the computed polymorphs = 0 meV per atom


2.
KBa2CuO4: relaxed, PBE.

```
KBa2CuO4
1.0
3.863 0.000 0.000
-1.931 6.873 0.000
0.000 0.000 12.915
O K Cu Ba
8 2 2 4
direct
0.324 0.648 0.750
0.256 0.511 0.114
0.744 0.489 0.886
0.000 0.000 0.500
0.744 0.489 0.614
0.000 0.000 0.000
0.256 0.511 0.386
0.676 0.352 0.250
0.119 0.238 0.750
0.881 0.762 0.250
0.786 0.573 0.750
0.214 0.427 0.250
0.370 0.740 0.545
0.370 0.740 0.955
0.630 0.260 0.045
0.630 0.260 0.455
```

Values from the calculation:
Space-group type = No. 63
Crystal system = orthorhombic
ΔE_f (raw) = -12.93 eV/f.u.
Spin magnetization = 0.045 μB/atom


3.
GeSbBr3: relaxed, PBE.

```
GeSbBr3
1.0
-0.652 2.803 -4.866
2.442 -4.270 -2.787
-5.057 -2.423 -0.718
Ge Sb Br
1 1 3
direct
0.500 0.500 0.500
0.000 0.000 0.000
0.000 0.500 0.000
0.500 0.000 0.000
0.000 0.000 0.500
```

Values from the calculation:
Space-group type = No. 221
Crystal system = cubic
ΔE_f (raw) = 0.93 eV/f.u.
Spin magnetization = 0.303 μB/atom
Relative energy among the computed polymorphs = 132 meV per atom


4.
YGa5Ni2Rh: relaxed, PBE.

```
YGa5Ni2Rh
1.0
-3.582 2.894 0.451
-2.293 -3.214 2.413
2.764 2.494 5.949
Ga Ni Rh Y
5 2 1 1
direct
0.000 0.500 0.194
0.500 0.500 0.500
0.500 0.000 0.194
0.500 0.000 0.806
0.000 0.500 0.806
0.500 0.500 0.174
0.500 0.500 0.826
0.000 0.000 0.000
0.000 0.000 0.500
```

Values from the calculation:
Space-group type = No. 123
Crystal system = tetragonal
DFT formation energy = -0.3240 eV per atom
Spin magnetization = 0.000 μB/atom